# 1
This record from Alexandria via LeMat-Bulk describes a geometry-optimized Ac2Ge5Rh3 structure. The functional is PBE-GGA.

Values from the calculation:
Total magnetic moment in μB/f.u.: 0.0
Fermi-level density of states in states/eV/f.u.: 6.651
Theoretical density in g cm⁻³: 9.30
Calculated formation energy in eV per atom: -0.786
Electronic total energy in eV for the cell shown: -122.4

Cell lengths 8.6903, 8.6903, 8.6903 Å; angles 106.89, 87.99, 138.12 degrees
Fractional coordinates of all 20 atoms:
Ac  0.1310  0.2348  0.3658
Ac  0.3690  0.7348  0.1038
Ac  0.6310  0.2652  0.8962
Ac  0.8690  0.7652  0.6342
Ge  0.0187  0.7500  0.2687
Ge  0.1040  0.6499  0.7538
Ge  0.2500  0.2500  0.0000
Ge  0.3960  0.1499  0.5459
Ge  0.4813  0.7500  0.7313
Ge  0.5187  0.2500  0.2687
Ge  0.6040  0.8501  0.4541
Ge  0.7500  0.7500  0.0000
Ge  0.8960  0.3501  0.2462
Ge  0.9813  0.2500  0.7313
Rh  0.1376  0.8888  0.0264
Rh  0.2500  0.7500  0.5000
Rh  0.3624  0.3888  0.7512
Rh  0.6376  0.6112  0.2488
Rh  0.7500  0.2500  0.5000
Rh  0.8624  0.1112  0.9736

# 2
This record from Alexandria via LeMat-Bulk describes a geometry-optimized KAlIr2 structure. The functional is PBE-GGA.

Values from the calculation:
Total magnetic moment in μB/f.u.: 0.0
Fermi-level density of states in states/eV/f.u.: 1.378
Theoretical density in g cm⁻³: 10.84
Calculated formation energy in eV per atom: 0.098
Electronic total energy in eV for the cell shown: -22.2

Cell lengths 2.8414, 2.8414, 9.5046 Å; angles 90.00, 90.00, 115.96 degrees
Fractional coordinates of all 4 atoms:
K  0.0000  0.0000  0.0000
Al  0.0000  0.0000  0.5000
Ir  0.5000  0.5000  0.2964
Ir  0.5000  0.5000  0.7036

# 3
This record from Alexandria via LeMat-Bulk describes a geometry-optimized Cu3WSe structure. The functional is PBE-GGA.

Values from the calculation:
Total magnetic moment in μB/f.u.: 0.0
E above lowest polymorph in meV/atom: 245
Fermi-level density of states in states/eV/f.u.: 3.952
Theoretical density in g cm⁻³: 7.14
Electronic total energy in eV for the cell shown: -20.6

Cell lengths 4.7235, 4.7235, 4.7235 Å; angles 90.00, 90.00, 90.00 degrees
Fractional coordinates of all 5 atoms:
Cu  0.0000  0.0000  0.5000
Cu  0.0000  0.5000  0.0000
Cu  0.5000  0.0000  0.0000
W  0.0000  0.0000  0.0000
Se  0.5000  0.5000  0.5000

# 4
This record from Alexandria via LeMat-Bulk describes a geometry-optimized CaMg2Si structure. The functional is PBE-GGA.

Values from the calculation:
Total magnetic moment in μB/f.u.: 0.0
Fermi-level density of states in states/eV/f.u.: 0.793
Theoretical density in g cm⁻³: 2.17
Electronic total energy in eV for the cell shown: -10.9

Cell lengths 5.0193, 5.0193, 5.0193 Å; angles 120.07, 119.82, 90.09 degrees
Fractional coordinates of all 4 atoms:
Ca  0.0000  0.0000  0.0000
Mg  0.4985  0.4985  0.0000
Mg  0.7489  0.2489  0.5000
Si  0.2508  0.7508  0.5000

# 5
This record from Alexandria via LeMat-Bulk describes a geometry-optimized Pm4Si3 structure. The functional is PBE-GGA.

Values from the calculation:
Total magnetic moment in μB/f.u.: 0.0
E above lowest polymorph in meV/atom: 140
Fermi-level density of states in states/eV/f.u.: 1.949
Theoretical density in g cm⁻³: 5.76
Electronic total energy in eV for the cell shown: -39.0

Cell lengths 10.2344, 10.2344, 10.2344 Å; angles 26.75, 26.75, 26.75 degrees
Fractional coordinates of all 7 atoms:
Pm  0.1223  0.1223  0.1223
Pm  0.2967  0.2967  0.2967
Pm  0.7033  0.7033  0.7033
Pm  0.8777  0.8777  0.8777
Si  0.4068  0.4068  0.4068
Si  0.5000  0.5000  0.5000
Si  0.5932  0.5932  0.5932

# 6
This record from Alexandria via LeMat-Bulk describes a geometry-optimized PuPaAlV structure. The functional is PBE-GGA.

Values from the calculation:
Total magnetic moment in μB/f.u.: 3.3
Fermi-level density of states in states/eV/f.u.: 7.901
Theoretical density in g cm⁻³: 11.87
Calculated formation energy in eV per atom: -0.034
Electronic total energy in eV for the cell shown: -36.8

Cell lengths 4.7830, 4.7830, 4.7830 Å; angles 60.00, 60.00, 60.00 degrees
Fractional coordinates of all 4 atoms:
Pu  0.0000  0.0000  0.0000
Pa  0.7500  0.7500  0.7500
Al  0.2500  0.2500  0.2500
V  0.5000  0.5000  0.5000

# 7
This record from Alexandria via LeMat-Bulk describes a geometry-optimized Al2PdPt6 structure. The functional is PBE-GGA.

Values from the calculation:
Total magnetic moment in μB/f.u.: 0.0
Fermi-level density of states in states/eV/f.u.: 4.727
Theoretical density in g cm⁻³: 15.84
Calculated formation energy in eV per atom: -0.492
Electronic total energy in eV for the cell shown: -53.4

Cell lengths 2.8301, 7.3079, 7.3079 Å; angles 112.59, 90.00, 90.00 degrees
Fractional coordinates of all 9 atoms:
Al  0.0000  0.1419  0.8581
Al  0.0000  0.8581  0.1419
Pd  0.5000  0.1816  0.1816
Pt  0.0000  0.1434  0.5066
Pt  0.0000  0.5066  0.1434
Pt  0.0000  0.5203  0.5203
Pt  0.5000  0.4339  0.8081
Pt  0.5000  0.8081  0.4339
Pt  0.5000  0.8340  0.8340

# 8
This record from Alexandria via LeMat-Bulk describes a geometry-optimized Nd4Si7 structure. The functional is PBE-GGA.

Values from the calculation:
Total magnetic moment in μB/f.u.: 0.0
E above lowest polymorph in meV/atom: 0
Fermi-level density of states in states/eV/f.u.: 3.520
Theoretical density in g cm⁻³: 5.35
Electronic total energy in eV for the cell shown: -63.8

Cell lengths 4.1015, 4.2279, 13.8421 Å; angles 90.00, 90.00, 90.00 degrees
Fractional coordinates of all 11 atoms:
Nd  0.0000  0.0000  0.0000
Nd  0.0000  0.5000  0.2512
Nd  0.5000  0.0000  0.7518
Nd  0.5000  0.5000  0.4999
Si  0.0000  0.0000  0.4136
Si  0.0000  0.0000  0.5854
Si  0.0000  0.5000  0.6663
Si  0.0000  0.5000  0.8364
Si  0.5000  0.0000  0.3201
Si  0.5000  0.5000  0.0901
Si  0.5000  0.5000  0.9232

Question: Which value of electronic total energy does entry 6 give?
Answer: -36.8 eV for the cell shown

Question: What is the theoretical density in the fifth record?
Answer: 5.76 g cm⁻³

Question: What is the electronic total energy in the seventh record?
Answer: -53.4 eV for the cell shown